A plane-wave DFT calculation with PBE with a Hubbard U was carried out for a relaxed MoAsO2F crystal.

Summary:
M_tot ... 0.088 μB/atom
Total energy ... -26.72 eV per formula unit

Geometry as CIF:
```
data_MoAsO2F
_space_group_name_H-M_alt 'P 4/m m m'
_space_group_IT_number 123
_space_group_name_Hall '-P 4 2'
_cell_length_a 3.9419
_cell_length_b 3.9419
_cell_length_c 4.3577
_cell_angle_alpha 90.00
_cell_angle_beta 90.00
_cell_angle_gamma 90.00
loop_
_atom_site_label
_atom_site_type_symbol
_atom_site_fract_x
_atom_site_fract_y
_atom_site_fract_z
Mo1 Mo 0.0000 0.0000 0.0000
As1 As 0.5000 0.5000 0.5000
O1 O 0.0000 0.5000 0.0000
F1 F 0.0000 0.0000 0.5000
```